First-principles (GGA+U) data for an optimized crystal structure of LiFe8O8F8, as listed in Alexandria.

Lattice parameters (Å, degrees): 4.682 4.651 12.003 88.82 89.78 90.25
Element x y z (fractional)
Fe: 0.528 0.532 0.377
Fe: 0.026 0.978 0.256
Fe: 0.463 0.474 0.134
Fe: 0.515 0.511 0.873
Fe: 0.527 0.513 0.623
Fe: 0.015 0.930 0.748
Fe: 0.963 0.020 0.499
Fe: 0.959 0.028 0.999
O: 0.681 0.317 0.499
O: 0.348 0.687 0.746
O: 0.160 0.211 0.131
O: 0.323 0.695 0.256
O: 0.642 0.311 0.006
O: 0.823 0.766 0.877
O: 0.818 0.796 0.619
O: 0.824 0.810 0.377
F: 0.304 0.717 0.004
F: 0.804 0.763 0.136
F: 0.710 0.283 0.748
F: 0.196 0.216 0.379
F: 0.192 0.210 0.623
F: 0.313 0.728 0.500
F: 0.693 0.280 0.257
F: 0.199 0.218 0.867
Li: 0.971 0.520 0.030

Results
Final energy = -137.2 eV per formula unit
Magnetic moment = 7.0 μB per cell